Record 1
Here is an optimized crystal structure of Ge2SF from Alexandria. Energies are from PBE.

Values from the calculation:
V (Å³ per cell): 141.6
Fermi-level density of states (states/eV/f.u.): 1.42
ΔE to the lowest computed polymorph (meV/atom): 0
Raw formation energy (eV per atom): -0.5370

Cell: 6.857 6.857 5.708 Å, 53.08 53.08 90.00°
Positions (direct):
F (0.500, 0.500, 0.000)
F (0.250, 0.750, 0.500)
S (0.750, 0.250, 0.500)
S (0.000, 0.000, 0.000)
Ge (0.375, 0.379, 0.750)
Ge (0.875, 0.871, 0.750)
Ge (0.129, 0.625, 0.250)
Ge (0.621, 0.125, 0.250)

Record 2
Here is an optimized crystal structure of Ge2SF from Alexandria. Energies are from PBE.

Values from the calculation:
V (Å³ per cell): 66.2
Fermi-level density of states (states/eV/f.u.): 1.57
ΔE to the lowest computed polymorph (meV/atom): 130
Raw formation energy (eV per atom): -0.4070

Cell: 4.542 4.542 4.542 Å, 60.00 60.00 60.00°
Positions (direct):
F (0.000, 0.000, 0.000)
Ge (0.250, 0.250, 0.250)
Ge (0.750, 0.750, 0.750)
S (0.500, 0.500, 0.500)

Record 3
Here is an optimized crystal structure of Ge3SF from Alexandria. Energies are from PBE.

Values from the calculation:
V (Å³ per cell): 125.9
Fermi-level density of states (states/eV/f.u.): 2.91
ΔE to the lowest computed polymorph (meV/atom): 93
Raw formation energy (eV per atom): 0.3384

Cell: 5.012 5.012 5.012 Å, 90.00 90.00 90.00°
Positions (direct):
Ge (0.000, 0.000, 0.500)
Ge (0.000, 0.500, 0.000)
Ge (0.500, 0.000, 0.000)
F (0.500, 0.500, 0.500)
S (0.000, 0.000, 0.000)

Record 4
Here is an optimized crystal structure of GeSF from Alexandria. Energies are from PBE.

Values from the calculation:
V (Å³ per cell): 221.4
Fermi-level density of states (states/eV/f.u.): 0.11
ΔE to the lowest computed polymorph (meV/atom): 248
Raw formation energy (eV per atom): -0.8099

Cell: 6.617 6.617 7.075 Å, 121.13 121.13 83.93°
Positions (direct):
Ge (0.788, 0.212, 0.000)
Ge (0.462, 0.538, 0.500)
Ge (0.038, 0.962, 0.500)
Ge (0.212, 0.788, 0.000)
F (0.377, 0.877, 0.755)
F (0.127, 0.127, 0.255)
F (0.123, 0.623, 0.245)
F (0.873, 0.873, 0.745)
S (0.648, 0.148, 0.296)
S (0.398, 0.398, 0.796)
S (0.852, 0.352, 0.704)
S (0.602, 0.602, 0.204)

Record 5
Here is an optimized crystal structure of GeS2F12 from Alexandria. Energies are from PBE.

Values from the calculation:
V (Å³ per cell): 446.8
Fermi-level density of states (states/eV/f.u.): 0.00
Raw formation energy (eV per atom): -1.9116

Cell: 6.083 7.762 9.464 Å, 90.00 90.00 90.00°
Positions (direct):
F (0.287, 0.863, 0.580)
F (0.809, 0.053, 0.146)
F (0.787, 0.637, 0.080)
F (0.713, 0.137, 0.420)
F (0.309, 0.553, 0.354)
F (0.809, 0.947, 0.854)
F (0.000, 0.102, 0.684)
F (0.500, 0.136, 0.659)
F (0.191, 0.053, 0.146)
F (0.713, 0.863, 0.580)
F (0.287, 0.137, 0.420)
F (0.500, 0.864, 0.341)
F (0.213, 0.637, 0.080)
F (0.191, 0.947, 0.854)
F (0.691, 0.553, 0.354)
F (0.691, 0.447, 0.646)
F (0.309, 0.447, 0.646)
F (0.500, 0.398, 0.184)
F (0.213, 0.363, 0.920)
F (0.000, 0.636, 0.841)
F (0.500, 0.602, 0.816)
F (0.787, 0.363, 0.920)
F (0.000, 0.364, 0.159)
F (0.000, 0.898, 0.316)
S (0.500, 0.586, 0.245)
S (0.000, 0.914, 0.745)
S (0.000, 0.086, 0.255)
S (0.500, 0.414, 0.755)
Ge (0.500, 0.000, 0.500)
Ge (0.000, 0.500, 0.000)

Record 6
Here is an optimized crystal structure of GeSF from Alexandria. Energies are from PBE.

Values from the calculation:
V (Å³ per cell): 120.8
ΔE to the lowest computed polymorph (meV/atom): 5
Raw formation energy (eV per atom): -1.0526

Cell: 3.740 5.255 6.827 Å, 87.13 74.08 69.58°
Positions (direct):
Ge (0.538, 0.738, 0.192)
Ge (0.462, 0.262, 0.808)
F (0.753, 0.365, 0.128)
F (0.247, 0.635, 0.872)
S (0.925, 0.699, 0.456)
S (0.075, 0.301, 0.544)

Record 7
Here is an optimized crystal structure of GeSF from Alexandria. Energies are from PBE.

Values from the calculation:
V (Å³ per cell): 128.1
ΔE to the lowest computed polymorph (meV/atom): 30
Raw formation energy (eV per atom): -1.0271

Cell: 4.763 5.463 5.503 Å, 81.29 74.50 68.47°
Positions (direct):
Ge (0.812, 0.092, 0.520)
Ge (0.630, 0.671, 0.968)
F (0.276, 0.777, 0.849)
F (0.797, 0.329, 0.751)
S (0.242, 0.180, 0.203)
S (0.377, 0.427, 0.358)

Record 8
Here is an optimized crystal structure of GeSF from Alexandria. Energies are from PBE.

Values from the calculation:
V (Å³ per cell): 57.6
Fermi-level density of states (states/eV/f.u.): 2.89
ΔE to the lowest computed polymorph (meV/atom): 218
Raw formation energy (eV per atom): -0.8390

Cell: 5.340 3.530 3.530 Å, 120.00 90.00 90.00°
Site moments in Bohr magnetons follow the coordinates.
Positions (direct):
Ge (0.323, 0.667, 0.333)  0.17
S (0.566, 0.333, 0.667)  0.15
F (0.111, 0.000, 0.000)  0.10

no.,E_tot (eV per atom)
1,-4.345
2,-4.215
3,-3.632
4,-4.349
5,-4.267
6,-4.591
7,-4.566
8,-4.378